Entry 1:
# Cu5Ag2S4 | Alexandria via LeMat-Bulk | PBE | optimized geometry
# Formation energy from raw total energies   0.07 eV/atom
# Total magnetization   0.00 μB per formula unit
data_Cu5Ag2S4
_chemical_formula_sum 'Cu5 Ag2 S4'
_cell_length_a 4.8749
_cell_length_b 6.3664
_cell_length_c 7.0031
_cell_angle_alpha 82.34
_cell_angle_beta 69.63
_cell_angle_gamma 67.49
_space_group_name_H-M_alt 'P 1'
_space_group_IT_number 1
loop_
_space_group_symop_operation_xyz
'x,y,z'
loop_
_atom_site_label
_atom_site_fract_x
_atom_site_fract_y
_atom_site_fract_z
Cu1 0.5000 0.0000 0.0000
Cu2 0.0000 0.5000 0.0000
Cu3 0.5000 0.5000 0.0000
Cu4 0.2500 0.5000 0.5000
Cu5 0.7500 0.5000 0.5000
Ag1 0.8889 0.0000 0.2221
Ag2 0.1111 0.0000 0.7779
S1 0.4827 0.2906 0.7440
S2 0.5173 0.7094 0.2560
S3 0.2267 0.2906 0.2560
S4 0.7733 0.7094 0.7440



Entry 2:
# CuAg2SbS4 | Alexandria via LeMat-Bulk | PBE | optimized geometry
# Formation energy from raw total energies   -0.13 eV/atom
# Total magnetization   0.00 μB per formula unit
data_CuAg2SbS4
_chemical_formula_sum 'Cu1 Ag2 Sb1 S4'
_cell_length_a 5.5266
_cell_length_b 5.5266
_cell_length_c 7.1924
_cell_angle_alpha 112.60
_cell_angle_beta 112.60
_cell_angle_gamma 89.98
_space_group_name_H-M_alt 'P 1'
_space_group_IT_number 1
loop_
_space_group_symop_operation_xyz
'x,y,z'
loop_
_atom_site_label
_atom_site_fract_x
_atom_site_fract_y
_atom_site_fract_z
Cu1 0.5000 0.5000 0.0000
Ag1 0.7500 0.2500 0.5000
Ag2 0.2500 0.7500 0.5000
Sb1 0.0000 0.0000 0.0001
S1 0.6279 0.6279 0.7736
S2 0.3723 0.8545 0.2267
S3 0.8545 0.3723 0.2267
S4 0.1457 0.1457 0.7735



Entry 3:
# CuAgSe2S4 | Alexandria via LeMat-Bulk | PBE | optimized geometry
# Formation energy from raw total energies   0.21 eV/atom
# Total magnetization   0.00 μB per formula unit
data_CuAgSe2S4
_chemical_formula_sum 'Cu1 Ag1 Se2 S4'
_cell_length_a 6.8560
_cell_length_b 5.9105
_cell_length_c 5.9105
_cell_angle_alpha 69.91
_cell_angle_beta 54.55
_cell_angle_gamma 54.55
_space_group_name_H-M_alt 'P 1'
_space_group_IT_number 1
loop_
_space_group_symop_operation_xyz
'x,y,z'
loop_
_atom_site_label
_atom_site_fract_x
_atom_site_fract_y
_atom_site_fract_z
Cu1 0.5000 0.5000 0.5000
Ag1 0.5000 0.0000 0.0000
Se1 0.0000 0.2501 0.7499
Se2 0.0000 0.7499 0.2501
S1 0.1427 0.9030 0.4543
S2 0.8573 0.5457 0.0970
S3 0.5001 0.4543 0.9030
S4 0.4999 0.0970 0.5457



Entry 4:
# Cu2AgSeS | Alexandria via LeMat-Bulk | PBE | optimized geometry
# Formation energy from raw total energies   -0.10 eV/atom
# Total magnetization   0.00 μB per formula unit
data_Cu2AgSeS
_chemical_formula_sum 'Cu4 Ag2 Se2 S2'
_cell_length_a 3.9281
_cell_length_b 7.0018
_cell_length_c 7.7458
_cell_angle_alpha 120.55
_cell_angle_beta 90.00
_cell_angle_gamma 90.00
_space_group_name_H-M_alt 'P 1'
_space_group_IT_number 1
loop_
_space_group_symop_operation_xyz
'x,y,z'
loop_
_atom_site_label
_atom_site_fract_x
_atom_site_fract_y
_atom_site_fract_z
Cu1 0.7500 0.4852 0.6235
Cu2 0.2500 0.5148 0.3765
Cu3 0.7500 0.5111 0.1243
Cu4 0.2500 0.4889 0.8757
Ag1 0.2500 0.8679 0.2682
Ag2 0.7500 0.1321 0.7318
Se1 0.2500 0.2346 0.0178
Se2 0.7500 0.7654 0.9822
S1 0.2500 0.2810 0.5172
S2 0.7500 0.7190 0.4828